--- w ---
LaMg2Hg3: relaxed, PBE-GGA.

space group = P6_3/mmc
total magnetic moment = 0.00 μB/cell

```
LaMg2Hg3
1.0
4.9306 0.0000 0.0000
-2.4653 4.2700 0.0000
0.0000 0.0000 14.1033
La Mg Hg
2 4 6
Direct
0.0000 0.0000 0.2500
0.0000 0.0000 0.7500
0.3333 0.6667 0.0801
0.3333 0.6667 0.4199
0.6667 0.3333 0.5801
0.6667 0.3333 0.9199
0.0000 0.0000 0.0000
0.0000 0.0000 0.5000
0.3333 0.6667 0.6348
0.3333 0.6667 0.8652
0.6667 0.3333 0.1348
0.6667 0.3333 0.3652
```



--- x ---
LaMg2Hg3: relaxed, PBE-GGA.

space group = Cmcm
total magnetic moment = 0.00 μB/cell

```
LaMg2Hg3
1.0
5.5065 -4.3790 0.0000
5.5065 4.3790 0.0000
0.0000 0.0000 6.2891
La Mg Hg
2 4 6
Direct
0.1528 0.8472 0.7500
0.8472 0.1528 0.2500
0.2836 0.2836 0.0000
0.2836 0.2836 0.5000
0.7164 0.7164 0.0000
0.7164 0.7164 0.5000
0.0551 0.6520 0.2500
0.3480 0.9449 0.2500
0.4861 0.5139 0.2500
0.5139 0.4861 0.7500
0.6520 0.0551 0.7500
0.9449 0.3480 0.7500
```



Most stable structure among those shown: w. Next: +0.059 eV/atom.